The following is a PBE calculation of a relaxed structure of Ac5LaPr2Sm, from the Alexandria database.

Cell: 12.142 12.142 12.142 Å, 139.05 139.05 59.29°
Sites, in units of the cell vectors:
1 Ac 0.000 0.000 0.000
2 Ac 0.083 0.583 0.934
3 Ac 0.149 0.083 0.500
4 Ac 0.351 0.851 0.934
5 Ac 0.417 0.351 0.500
6 Ac 0.500 0.500 0.000
7 Ac 0.583 0.649 0.500
8 Ac 0.649 0.149 0.066
9 Ac 0.851 0.917 0.500
10 Ac 0.917 0.417 0.066
11 La 0.250 0.250 0.000
12 La 0.750 0.750 0.000
13 Pr 0.122 0.378 0.500
14 Pr 0.378 0.878 0.255
15 Pr 0.622 0.122 0.745
16 Pr 0.878 0.622 0.500
17 Sm 0.250 0.750 0.500
18 Sm 0.750 0.250 0.500

Results
- DOS at the Fermi energy (states/eV/atom) = 1.817
- energy (eV/cell) = -74.73
- total magnetic moment (μB/atom) = 0.00
- density (g/cm³) = 7.44
- formation energy from the elements (meV/atom) = 265